--- a ---
Entry from Alexandria via LeMat-Bulk: Ac6La3Pm after structural relaxation (GGA-PBE).

a = 10.4193 Å, b = 10.4193 Å, c = 10.4193 Å
α = 110.68°, β = 110.68°, γ = 110.68°
Atoms (fractional coordinates):
Ac1 0.0766 0.3758 0.5825
Ac2 0.0974 0.7339 0.1548
Ac3 0.1548 0.0974 0.7339
Ac4 0.2661 0.8452 0.9026
Ac5 0.3758 0.5825 0.0766
Ac6 0.4175 0.9234 0.6242
Ac7 0.5825 0.0766 0.3758
Ac8 0.6242 0.4175 0.9234
Ac9 0.7339 0.1548 0.0974
Ac10 0.8452 0.9026 0.2661
Ac11 0.9026 0.2661 0.8452
Ac12 0.9234 0.6242 0.4175
La1 0.1648 0.4574 0.2861
La2 0.2861 0.1648 0.4574
La3 0.4574 0.2861 0.1648
La4 0.5426 0.7139 0.8352
La5 0.7139 0.8352 0.5426
La6 0.8352 0.5426 0.7139
Pm1 0.0000 0.0000 0.0000
Pm2 0.5000 0.5000 0.5000

- magnetic moment (Bohr magnetons per cell) = 0.00

=====

--- b ---
Entry from Alexandria via LeMat-Bulk: Ac6La3Pm after structural relaxation (GGA-PBE).

a = 14.2323 Å, b = 3.8560 Å, c = 15.5036 Å
α = 90.00°, β = 100.30°, γ = 90.00°
Atoms (fractional coordinates):
Ac1 0.0030 0.2500 0.3142
Ac2 0.1539 0.2500 0.8796
Ac3 0.2342 0.7500 0.2977
Ac4 0.2833 0.7500 0.7133
Ac5 0.3113 0.7500 0.0740
Ac6 0.3778 0.2500 0.5155
Ac7 0.6222 0.7500 0.4845
Ac8 0.6887 0.2500 0.9260
Ac9 0.7167 0.2500 0.2867
Ac10 0.7658 0.2500 0.7023
Ac11 0.8461 0.7500 0.1204
Ac12 0.9970 0.7500 0.6858
La1 0.0783 0.2500 0.0975
La2 0.1263 0.7500 0.5039
La3 0.4306 0.2500 0.8941
La4 0.5694 0.7500 0.1059
La5 0.8737 0.2500 0.4961
La6 0.9217 0.7500 0.9025
Pm1 0.4598 0.2500 0.2764
Pm2 0.5402 0.7500 0.7236

- magnetic moment (Bohr magnetons per cell) = 0.00

=====

Name the least stable of them. a.

=====

--- a ---
Entry from Alexandria via LeMat-Bulk: Ac2La3Pm4 after structural relaxation (GGA-PBE).

a = 3.7667 Å, b = 3.7667 Å, c = 27.9484 Å
α = 90.00°, β = 90.00°, γ = 120.00°
Atoms (fractional coordinates):
Ac1 0.0000 0.0000 0.0000
Ac2 0.0000 0.0000 0.2295
La1 0.0000 0.0000 0.7825
La2 0.3333 0.6667 0.1170
La3 0.3333 0.6667 0.4604
Pm1 0.0000 0.0000 0.3568
Pm2 0.0000 0.0000 0.5713
Pm3 0.3333 0.6667 0.6734
Pm4 0.3333 0.6667 0.8890

- magnetic moment (Bohr magnetons per cell) = 0.00

=====

--- b ---
Entry from Alexandria via LeMat-Bulk: Ac2La3Pm4 after structural relaxation (GGA-PBE).

a = 6.5513 Å, b = 9.7521 Å, c = 11.7418 Å
α = 71.99°, β = 73.98°, γ = 89.82°
Atoms (fractional coordinates):
Ac1 0.1693 0.2545 0.0018
Ac2 0.2851 0.0303 0.7733
Ac3 0.7149 0.9697 0.2267
Ac4 0.8307 0.7455 0.9982
La1 0.0576 0.4736 0.2262
La2 0.2784 0.8559 0.1157
La3 0.3841 0.8003 0.5603
La4 0.6159 0.1997 0.4397
La5 0.7216 0.1441 0.8843
La6 0.9424 0.5264 0.7738
Pm1 0.0514 0.3070 0.5552
Pm2 0.1652 0.0847 0.3406
Pm3 0.3952 0.6372 0.8853
Pm4 0.4946 0.5766 0.3405
Pm5 0.5054 0.4234 0.6595
Pm6 0.6048 0.3628 0.1147
Pm7 0.8348 0.9153 0.6594
Pm8 0.9486 0.6930 0.4448

- magnetic moment (Bohr magnetons per cell) = 0.00

=====

Name the least stable of them. a.

=====

--- a ---
Entry from Alexandria via LeMat-Bulk: AcLa4Pm7 after structural relaxation (GGA-PBE).

a = 6.9741 Å, b = 6.9741 Å, c = 13.0214 Å
α = 114.64°, β = 114.64°, γ = 53.53°
Atoms (fractional coordinates):
Ac1 0.0000 0.0000 0.0000
La1 0.1434 0.1434 0.7763
La2 0.4329 0.4329 0.6762
La3 0.5671 0.5671 0.3238
La4 0.8566 0.8566 0.2237
Pm1 0.1312 0.1312 0.4994
Pm2 0.2713 0.2713 0.3304
Pm3 0.2953 0.2953 0.0790
Pm4 0.5000 0.5000 0.0000
Pm5 0.7047 0.7047 0.9210
Pm6 0.7287 0.7287 0.6696
Pm7 0.8688 0.8688 0.5006

- magnetic moment (Bohr magnetons per cell) = 0.01

=====

--- b ---
Entry from Alexandria via LeMat-Bulk: AcLa4Pm7 after structural relaxation (GGA-PBE).

a = 6.4753 Å, b = 7.4779 Å, c = 9.2565 Å
α = 90.05°, β = 103.50°, γ = 90.02°
Atoms (fractional coordinates):
Ac1 0.0000 0.0000 0.0000
La1 0.2214 0.4988 0.6691
La2 0.2803 0.7477 0.3349
La3 0.7197 0.2523 0.6651
La4 0.7786 0.5012 0.3309
Pm1 0.0000 0.5000 0.0000
Pm2 0.2261 0.0003 0.6667
Pm3 0.2762 0.2515 0.3316
Pm4 0.5001 0.2522 0.0016
Pm5 0.4999 0.7478 0.9984
Pm6 0.7238 0.7485 0.6684
Pm7 0.7739 0.9997 0.3333

- magnetic moment (Bohr magnetons per cell) = 0.00

=====

Name the least stable of them. a.

=====

--- a ---
Entry from Alexandria via LeMat-Bulk: AcLaPmPr after structural relaxation (GGA-PBE).

a = 6.5651 Å, b = 6.5651 Å, c = 6.5651 Å
α = 132.10°, β = 132.10°, γ = 70.08°
Atoms (fractional coordinates):
Ac1 0.0000 0.0000 0.0000
La1 0.2500 0.7500 0.5000
Pm1 0.5000 0.5000 0.0000
Pr1 0.7500 0.2500 0.5000

- magnetic moment (Bohr magnetons per cell) = 0.00

=====

--- b ---
Entry from Alexandria via LeMat-Bulk: AcLaPmPr after structural relaxation (GGA-PBE).

a = 6.0109 Å, b = 6.0109 Å, c = 6.0109 Å
α = 60.00°, β = 60.00°, γ = 60.00°
Atoms (fractional coordinates):
Ac1 0.0000 0.0000 0.0000
La1 0.5000 0.5000 0.5000
Pm1 0.2500 0.2500 0.2500
Pr1 0.7500 0.7500 0.7500

- magnetic moment (Bohr magnetons per cell) = 0.00

=====

Name the least stable of them. b.

=====

--- a ---
Entry from Alexandria via LeMat-Bulk: AcLaPmTl after structural relaxation (GGA-PBE).

a = 5.6680 Å, b = 5.6680 Å, c = 6.1262 Å
α = 122.60°, β = 122.60°, γ = 65.42°
Atoms (fractional coordinates):
Ac1 0.0000 0.0000 0.0000
La1 0.2500 0.2500 0.7494
Pm1 0.7500 0.7500 0.2506
Tl1 0.5000 0.5000 0.4996

- magnetic moment (Bohr magnetons per cell) = 0.00

=====

--- b ---
Entry from Alexandria via LeMat-Bulk: AcLaPmTl after structural relaxation (GGA-PBE).

a = 5.7662 Å, b = 5.7662 Å, c = 5.7662 Å
α = 60.00°, β = 60.00°, γ = 60.00°
Atoms (fractional coordinates):
Ac1 0.0000 0.0000 0.0000
La1 0.7500 0.7500 0.7500
Pm1 0.2500 0.2500 0.2500
Tl1 0.5000 0.5000 0.5000

- magnetic moment (Bohr magnetons per cell) = 0.00

=====

Name the least stable of them. b.

=====

--- a ---
Entry from Alexandria via LeMat-Bulk: AcLaPmTm after structural relaxation (GGA-PBE).

a = 5.9228 Å, b = 5.9228 Å, c = 5.9228 Å
α = 60.00°, β = 60.00°, γ = 60.00°
Atoms (fractional coordinates):
Ac1 0.0000 0.0000 0.0000
La1 0.5000 0.5000 0.5000
Pm1 0.2500 0.2500 0.2500
Tm1 0.7500 0.7500 0.7500

- magnetic moment (Bohr magnetons per cell) = 0.00

=====

--- b ---
Entry from Alexandria via LeMat-Bulk: AcLaPmTm after structural relaxation (GGA-PBE).

a = 3.7527 Å, b = 3.7527 Å, c = 12.0036 Å
α = 90.00°, β = 90.00°, γ = 120.00°
Atoms (fractional coordinates):
Ac1 0.0000 0.0000 0.0000
La1 0.6667 0.3333 0.5097
Pm1 0.3333 0.6667 0.2598
Tm1 0.3333 0.6667 0.7499

- magnetic moment (Bohr magnetons per cell) = 0.00

=====

Name the least stable of them. a.